No. 1
Computed, not measured: an optimized crystal structure of BaCaEuGa at the PBE level of DFT.

Cell: 5.895 5.895 5.895 Å, 60.00 60.00 60.00°
Last column: magnetic moment on the atom in μB.
Fractional positions:
Eu1 0.750 0.750 0.750  6.95
Ca1 0.500 0.500 0.500  0.05
Ba1 0.250 0.250 0.250  0.03
Ga1 0.000 0.000 0.000  -0.03

Properties
- volume (Å³/f.u.) = 145
- uncorrected energy (eV/cell) = -17.4
- formation enthalpy at 0 K (meV per atom) = -52

=====

No. 2
Computed, not measured: an optimized crystal structure of TaNbAgB2 at the PBE level of DFT.

Cell: 4.025 5.210 4.025 Å, 90.00 90.00 90.00°
Fractional positions:
Nb1 0.500 0.500 0.500
B1 0.000 0.000 0.500
B2 0.500 0.000 0.000
Ag1 0.000 0.000 0.000
Ta1 0.000 0.500 0.000

Properties
- volume (Å³/f.u.) = 84
- uncorrected energy (eV/cell) = -28.7
- formation enthalpy at 0 K (meV per atom) = 1884

=====

No. 3
Computed, not measured: an optimized crystal structure of Ce2GeH3 at the PBE level of DFT.

Cell: 4.087 7.392 7.389 Å, 53.71 73.95 73.95°
Last column: magnetic moment on the atom in μB.
Fractional positions:
Ce1 0.500 0.211 0.789  0.43
Ce2 0.500 0.789 0.211  0.43
Ce3 0.809 0.691 0.691  0.40
Ce4 0.191 0.309 0.309  0.40
Ge1 0.865 0.135 0.136  -0.02
Ge2 0.135 0.865 0.864  -0.02
H1 0.321 0.496 0.861  0.00
H2 0.999 0.355 0.648  0.00
H3 0.679 0.139 0.504  0.00
H4 0.321 0.861 0.496  0.00
H5 0.001 0.645 0.352  0.00
H6 0.679 0.504 0.139  0.00

Properties
- volume (Å³/f.u.) = 86
- uncorrected energy (eV/cell) = -59.1
- polymorph energy (0 for the lowest one) (meV/atom) = 64

=====

No. 4
Computed, not measured: an optimized crystal structure of KReS2Cl at the PBE level of DFT.

Cell: 5.486 5.486 5.337 Å, 90.00 90.00 90.00°
Last column: magnetic moment on the atom in μB.
Fractional positions:
Re1 0.500 0.500 0.500  -4.32
K1 0.000 0.000 0.000  0.04
S1 0.000 0.500 0.000  0.69
S2 0.500 0.000 0.000  0.69
Cl1 0.000 0.000 0.500  0.04

Properties
- volume (Å³/f.u.) = 161
- ΔE_f (raw) (eV/atom) = 1.678
- uncorrected energy (eV/cell) = -15.3
- polymorph energy (0 for the lowest one) (meV/atom) = 2203

=====

No. 5
Computed, not measured: an optimized crystal structure of PrSm2Al2Ga2 at the PBE level of DFT.

Cell: 4.308 4.308 11.500 Å, 79.21 79.21 60.00°
Last column: magnetic moment on the atom in μB.
Fractional positions:
Pr1 0.000 0.000 0.000  0.00
Sm1 0.125 0.125 0.624  0.06
Sm2 0.875 0.875 0.376  0.06
Al1 0.605 0.605 0.185  0.00
Al2 0.395 0.395 0.815  0.00
Ga1 0.738 0.738 0.787  0.00
Ga2 0.262 0.262 0.213  0.00

Properties
- volume (Å³/f.u.) = 180
- uncorrected energy (eV/cell) = -30.7
- formation enthalpy at 0 K (meV per atom) = -421

=====

No. 6
Computed, not measured: an optimized crystal structure of TaTiZn2Ni at the PBE level of DFT.

Cell: 4.769 4.585 4.769 Å, 90.00 90.00 90.00°
Last column: magnetic moment on the atom in μB.
Fractional positions:
Ni1 0.500 0.500 0.500  0.27
Zn1 0.000 0.000 0.500  0.00
Zn2 0.500 0.000 0.000  0.01
Ti1 0.000 0.000 0.000  0.02
Ta1 0.000 0.500 0.000  -0.01

Properties
- volume (Å³/f.u.) = 104
- uncorrected energy (eV/cell) = -21.0
- formation enthalpy at 0 K (meV per atom) = 1422

=====

| no. | DOS(E_F) (states/eV per atom) |
| --- | --- |
| 1 | 2.948 |
| 2 | 0.917 |
| 3 | 1.098 |
| 4 | 1.146 |
| 5 | 0.874 |
| 6 | 1.352 |